# 1
First-principles (PBE) data for a relaxed Cs2NdSiSe4 crystal, as listed in Alexandria via LeMat-Bulk.

Unit cell a=6.974 b=14.947 c=26.654 alpha=90.00 beta=90.00 gamma=90.00
Space group Fddd (No. 70, origin choice 2)
Inequivalent atoms, fractional coordinates:
Cs: 0.125 0.125 0.306 x16
Nd: 0.125 0.125 0.125 x8
Si: 0.125 0.125 0.625 x8
Se: 0.078 0.283 0.826 x32

Results
- formation energy (no corrections) (eV per atom) = -1.046

***

# 2
First-principles (PBE) data for a relaxed Cs2NdSmSe4 crystal, as listed in Alexandria via LeMat-Bulk.

Unit cell a=7.584 b=4.378 c=8.776 alpha=90.00 beta=106.71 gamma=90.00
Space group P2/m (No. 10)
Inequivalent atoms, fractional coordinates:
Cs: 0.000 0.000 0.000 x1
Cs: 0.500 0.500 0.000 x1
Nd: 0.000 0.500 0.500 x1
Sm: 0.500 0.000 0.500 x1
Se: 0.233 0.000 0.690 x2
Se: 0.273 0.500 0.311 x2

Results
- formation energy (no corrections) (eV per atom) = -1.729

***

# 3
First-principles (PBE) data for a relaxed Cs3NdSm2Se6 crystal, as listed in Alexandria via LeMat-Bulk.

Unit cell a=7.568 b=13.109 c=8.773 alpha=90.00 beta=106.71 gamma=90.00
Space group C2/m (No. 12)
Inequivalent atoms, fractional coordinates:
Cs: 0.000 0.000 0.000 x2
Cs: 0.000 0.334 0.000 x4
Nd: 0.000 0.500 0.500 x2
Sm: 0.000 0.167 0.500 x4
Se: 0.227 0.000 0.689 x4
Se: 0.231 0.332 0.689 x8

Results
- formation energy (no corrections) (eV per atom) = -1.730

***

> Which of these has the highest formation energy (no corrections)?

Cs2NdSiSe4

***

Copy entry 3 word for word.
First-principles (PBE) data for a relaxed Cs3NdSm2Se6 crystal, as listed in Alexandria via LeMat-Bulk.

Unit cell a=7.568 b=13.109 c=8.773 alpha=90.00 beta=106.71 gamma=90.00
Space group C2/m (No. 12)
Inequivalent atoms, fractional coordinates:
Cs: 0.000 0.000 0.000 x2
Cs: 0.000 0.334 0.000 x4
Nd: 0.000 0.500 0.500 x2
Sm: 0.000 0.167 0.500 x4
Se: 0.227 0.000 0.689 x4
Se: 0.231 0.332 0.689 x8

Results
- formation energy (no corrections) (eV per atom) = -1.730